Here is a geometry-optimized TlMo2Rh structure from Alexandria via LeMat-Bulk. Energies are from PBE-GGA.

Unit cell a=2.853 b=4.307 c=5.550 alpha=90.00 beta=90.00 gamma=90.00
Positions (direct):
Tl 0.000 0.000 0.000
Mo 0.500 0.500 0.283
Mo 0.500 0.500 0.717
Rh 0.000 0.000 0.500

Calculated values
Space group: No. 47
Magnetization (Bohr magnetons per cell): 0.00
Offset from the most stable computed form (eV/atom): 0.057
E (eV per formula unit): -29.959
ΔH_f (0 K) (eV/atom): 0.3551